Here is a relaxed HgH3Rh2 crystal from Alexandria via LeMat-Bulk. Energies are from GGA-PBE.

abc: 7.3769 17.4712 2.8674
angles: 90.00 90.00 90.00
Space group Cmmm (No. 65)
Inequivalent atoms, fractional coordinates:
Hg1 0.0000 0.0000 0.0000
Hg2 0.0000 0.3078 0.5000
H1 0.0000 0.5000 0.0000
H2 0.1438 0.1404 0.5000
H3 0.1908 0.5000 0.5000
H4 0.2500 0.2500 0.0000
Rh1 0.0000 0.1729 0.0000
Rh2 0.1892 0.4222 0.0000

DOS(E_F) = 22.3 states/eV per cell
electronic total energy = -140.4 eV/cell
total moment = 0.000 μB per atom
crystal system = orthorhombic